(1)
# ZnCoCl4 | Alexandria | PBE | optimized geometry
# ΔE_f (raw): -829.6 meV/atom
# mass density: 2.62 g/cm³
# total moment: 12.00 μB per cell
# V: 28.081 A^3/atom
# total DFT energy (no corrections): -3.4573 eV/atom
data_ZnCoCl4
_chemical_formula_sum 'Zn4 Co4 Cl16'
_symmetry_space_group_name_H-M 'C 2 2 21'
_symmetry_Int_Tables_number 20
_symmetry_space_group_name_Hall 'C 2c 2'
_cell_length_a 8.960
_cell_length_b 9.012
_cell_length_c 8.347
_cell_angle_alpha 90.00
_cell_angle_beta 90.00
_cell_angle_gamma 90.00
loop_
_atom_site_label
_atom_site_type_symbol
_atom_site_fract_x
_atom_site_fract_y
_atom_site_fract_z
Zn1 Zn 0.000 0.168 0.250
Co1 Co 0.165 0.500 0.500
Cl1 Cl 0.014 0.297 0.485
Cl2 Cl 0.203 0.010 0.230

---

(2)
# Li2SmHg | Alexandria | PBE | optimized geometry
# mass density: 6.22 g/cm³
# total moment: 0.28 μB per cell
# V: 24.338 A^3/atom
# calculated formation energy: -91 meV/atom
# total DFT energy (no corrections): -2.3028 eV/atom
data_Li2SmHg
_chemical_formula_sum 'Li2 Sm1 Hg1'
_symmetry_space_group_name_H-M 'P 4/m m m'
_symmetry_Int_Tables_number 123
_symmetry_space_group_name_Hall '-P 4 2'
_cell_length_a 4.410
_cell_length_b 4.410
_cell_length_c 5.005
_cell_angle_alpha 90.00
_cell_angle_beta 90.00
_cell_angle_gamma 90.00
loop_
_atom_site_label
_atom_site_type_symbol
_atom_site_fract_x
_atom_site_fract_y
_atom_site_fract_z
Li1 Li 0.000 0.500 0.000
Sm1 Sm 0.000 0.000 0.500
Hg1 Hg 0.500 0.500 0.500

---

(3)
# TbPmGePd | Alexandria | PBE | optimized geometry
# mass density: 8.35 g/cm³
# total moment: 0.00 μB per cell
# V: 24.017 A^3/atom
# calculated formation energy: -857 meV/atom
# total DFT energy (no corrections): -5.6549 eV/atom
data_TbPmGePd
_chemical_formula_sum 'Tb2 Pm2 Ge2 Pd2'
_symmetry_space_group_name_H-M 'A m m 2'
_symmetry_Int_Tables_number 38
_symmetry_space_group_name_Hall 'A 2 -2'
_cell_length_a 4.330
_cell_length_b 3.999
_cell_length_c 11.094
_cell_angle_alpha 90.00
_cell_angle_beta 90.00
_cell_angle_gamma 90.00
loop_
_atom_site_label
_atom_site_type_symbol
_atom_site_fract_x
_atom_site_fract_y
_atom_site_fract_z
Tb1 Tb 0.000 0.000 0.000
Pm1 Pm 0.500 0.000 0.723
Ge1 Ge 0.500 0.000 0.447
Pd1 Pd 0.000 0.000 0.286